This record from Alexandria describes a geometry-optimized GaMoRhO6 structure. The functional is PBE with a Hubbard U.

Total magnetic moment, μB per formula unit: 0.0
Total energy, eV per atom: -6.589

Unit cell a=4.670 b=4.670 c=9.095 alpha=90.00 beta=90.00 gamma=90.00
Space group P4_2nm (No. 102)
One atom of each set of equivalent atoms:
Ga 0.000 0.000 0.000 [2 per cell]
Mo 0.000 0.000 0.663 [2 per cell]
Rh 0.000 0.000 0.331 [2 per cell]
O 0.192 0.192 0.826 [4 per cell]
O 0.198 0.198 0.162 [4 per cell]
O 0.200 0.200 0.508 [4 per cell]